First-principles (PBE-GGA) data for a relaxed structure of Y2Fe2Si, as listed in the Open Quantum Materials Database.

Values from the calculation:
* DFT total energy: -34.4 eV/f.u.

a = 5.3411 Å, b = 5.3411 Å, c = 6.9408 Å
α = 90.00°, β = 90.00°, γ = 90.00°
Closest atoms and distances in Å follow each position.
Space group I4/mmm (No. 139)
Unique sites:
Y (0.0000, 0.5000, 0.2500)  4 Fe 2.73
Fe (0.0000, 0.0000, 0.1662)  1 Fe 2.31, 1 Si 2.32
Si (0.0000, 0.0000, 0.5000)  2 Fe 2.32



First-principles (PBE-GGA) data for a relaxed structure of HfFeMo, as listed in the Open Quantum Materials Database.

Values from the calculation:
* energy relative to the elements: 1.18 eV per atom
* energy above the lowest structure with this stoichiometry: 921 meV/atom

a = 6.0959 Å, b = 6.0959 Å, c = 6.0959 Å
α = 90.00°, β = 90.00°, γ = 90.00°
Closest atoms and distances in Å follow each position.
Space group F-43m (No. 216)
Unique sites:
Hf (0.0000, 0.0000, 0.0000)  4 Fe 2.64, 4 Mo 2.64
Fe (0.2500, 0.2500, 0.7500)  4 Hf 2.64
Mo (0.2500, 0.2500, 0.2500)  4 Hf 2.64



First-principles (PBE-GGA) data for a relaxed structure of Na4CuSi2Ir, as listed in the Open Quantum Materials Database.

Values from the calculation:
* DFT total energy: -27.2 eV/f.u.

a = 4.5752 Å, b = 4.5752 Å, c = 6.3896 Å
α = 90.00°, β = 90.00°, γ = 90.00°
Closest atoms and distances in Å follow each position.
Space group P-4m2 (No. 115)
Unique sites:
Na (0.0000, 0.0000, 0.0000)  4 Si 2.67, 4 Na 2.86
Na (0.0000, 0.5000, 0.7325)  2 Cu 2.73, 4 Na 2.73-2.86, 2 Ir 2.86
Na (0.5000, 0.5000, 0.5000)  4 Na 2.73, 4 Si 2.93
Cu (0.0000, 0.0000, 0.5000)  4 Na 2.73, 4 Si 2.93
Si (0.0000, 0.5000, 0.2144)  4 Na 2.67-2.93, 2 Ir 2.67, 2 Cu 2.93
Ir (0.5000, 0.5000, 0.0000)  4 Si 2.67, 4 Na 2.86